An optimized crystal structure of PmNdTlNi, computed with GGA-PBE.

Properties
The value obtained for the formation energy is -17 kJ/mol of atoms. The energy comes out at -4.5970 eV/atom. The symmetry is F-43m. The value obtained for the density of states at the Fermi level is 4.222 states/eV/f.u.

Unit cell a=5.271 b=5.271 c=5.271 alpha=60.00 beta=60.00 gamma=60.00
Fractional coordinates of all 4 atoms:
Pm: 0.000 0.000 0.000
Nd: 0.500 0.500 0.500
Tl: 0.250 0.250 0.250
Ni: 0.750 0.750 0.750